[1]
# Sr2ZnNi | Alexandria via LeMat-Bulk | PBE | relaxed
# Volume = 389.50 Å³ per cell
# Energy above the most stable polymorph in this dataset = 461.0 meV per atom
# Calculated formation energy = 6.41 kcal/mol of atoms
# Total magnetization = 0.0001 μB/atom
data_Sr2ZnNi
_space_group_name_H-M_alt 'F -4 3 m'
_space_group_IT_number 216
_space_group_name_Hall 'F -4 2 3'
_cell_length_a 7.303
_cell_length_b 7.303
_cell_length_c 7.303
_cell_angle_alpha 90.00
_cell_angle_beta 90.00
_cell_angle_gamma 90.00
loop_
_atom_site_label
_atom_site_fract_x
_atom_site_fract_y
_atom_site_fract_z
Sr1 0.000 0.000 0.000
Sr2 0.250 0.250 0.250
Zn1 0.000 0.000 0.500
Ni1 0.250 0.250 0.750

***

[2]
# Sr2ZnNi | Alexandria via LeMat-Bulk | PBE | relaxed
# Volume = 249.95 Å³ per cell
# Energy above the most stable polymorph in this dataset = 302.0 meV per atom
# Calculated formation energy = 2.75 kcal/mol of atoms
# Total magnetization = 0.0000 μB/atom
data_Sr2ZnNi
_space_group_name_H-M_alt 'C 1 2/m 1'
_space_group_IT_number 12
_cell_length_a 7.307
_cell_length_b 4.241
_cell_length_c 8.435
_cell_angle_alpha 90.00
_cell_angle_beta 107.00
_cell_angle_gamma 90.00
loop_
_space_group_symop_operation_xyz
'x,y,z'
'-x,-y,-z'
'-x,y,-z'
'x,-y,z'
'x+1/2,y+1/2,z'
'-x+1/2,-y+1/2,-z'
'-x+1/2,y+1/2,-z'
'x+1/2,-y+1/2,z'
loop_
_atom_site_label
_atom_site_fract_x
_atom_site_fract_y
_atom_site_fract_z
Sr1 0.237 0.000 0.211
Zn1 0.000 0.000 0.500
Ni1 0.000 0.500 0.000

***

Please write out number 1 again, unchanged.
# Sr2ZnNi | Alexandria via LeMat-Bulk | PBE | relaxed
# Volume = 389.50 Å³ per cell
# Energy above the most stable polymorph in this dataset = 461.0 meV per atom
# Calculated formation energy = 6.41 kcal/mol of atoms
# Total magnetization = 0.0001 μB/atom
data_Sr2ZnNi
_space_group_name_H-M_alt 'F -4 3 m'
_space_group_IT_number 216
_space_group_name_Hall 'F -4 2 3'
_cell_length_a 7.303
_cell_length_b 7.303
_cell_length_c 7.303
_cell_angle_alpha 90.00
_cell_angle_beta 90.00
_cell_angle_gamma 90.00
loop_
_atom_site_label
_atom_site_fract_x
_atom_site_fract_y
_atom_site_fract_z
Sr1 0.000 0.000 0.000
Sr2 0.250 0.250 0.250
Zn1 0.000 0.000 0.500
Ni1 0.250 0.250 0.750

***

> total magnetization of number 1 (Sr2ZnNi)?

0.0001 μB/atom

***

> What is the formula in the second record?

Sr2ZnNi

***

What did the first record say?
# Sr2ZnNi | Alexandria via LeMat-Bulk | PBE | relaxed
# Volume = 389.50 Å³ per cell
# Energy above the most stable polymorph in this dataset = 461.0 meV per atom
# Calculated formation energy = 6.41 kcal/mol of atoms
# Total magnetization = 0.0001 μB/atom
data_Sr2ZnNi
_space_group_name_H-M_alt 'F -4 3 m'
_space_group_IT_number 216
_space_group_name_Hall 'F -4 2 3'
_cell_length_a 7.303
_cell_length_b 7.303
_cell_length_c 7.303
_cell_angle_alpha 90.00
_cell_angle_beta 90.00
_cell_angle_gamma 90.00
loop_
_atom_site_label
_atom_site_fract_x
_atom_site_fract_y
_atom_site_fract_z
Sr1 0.000 0.000 0.000
Sr2 0.250 0.250 0.250
Zn1 0.000 0.000 0.500
Ni1 0.250 0.250 0.750